(1)
A geometry-optimized ZnIr2Cl structure, computed with GGA-PBE.

- formation energy without anion corrections (eV per atom) = 0.7649
- SG = No. 123
- energy above the most stable polymorph in this dataset (meV/atom) = 621

Cell: 2.975 4.460 4.460 Å, 90.00 90.00 90.00°
Fractional positions:
Cl 0.500 0.000 0.500
Ir 0.000 0.000 0.000
Ir 0.000 0.500 0.500
Zn 0.500 0.500 0.000



(2)
A geometry-optimized LiTaW2 structure, computed with GGA-PBE.

- E_form (meV/atom) = 352
- SG = No. 99
- energy above the most stable polymorph in this dataset (meV/atom) = 100

Cell: 3.231 3.231 5.994 Å, 90.00 90.00 90.00°
Fractional positions:
Li 0.000 0.000 0.492
Ta 0.500 0.500 0.742
W 0.000 0.000 0.010
W 0.500 0.500 0.256



(3)
A geometry-optimized K2Ba2Cd15 structure, computed with GGA-PBE.

- E_form (meV/atom) = -139
- SG = No. 166

Cell: 8.072 8.072 8.072 Å, 84.54 84.54 84.54°
Fractional positions:
K 0.097 0.097 0.097
K 0.903 0.903 0.903
Ba 0.345 0.345 0.345
Ba 0.655 0.655 0.655
Cd 0.500 0.000 0.000
Cd 0.000 0.000 0.500
Cd 0.000 0.500 0.000
Cd 0.000 0.686 0.314
Cd 0.686 0.314 0.000
Cd 0.314 0.000 0.686
Cd 0.314 0.686 0.000
Cd 0.686 0.000 0.314
Cd 0.000 0.314 0.686
Cd 0.171 0.648 0.648
Cd 0.648 0.648 0.171
Cd 0.648 0.171 0.648
Cd 0.829 0.352 0.352
Cd 0.352 0.352 0.829
Cd 0.352 0.829 0.352



(4)
A geometry-optimized Ca2IrAu structure, computed with GGA-PBE.

- E_form (meV/atom) = -227
- SG = No. 25

Cell: 3.384 4.646 5.898 Å, 90.00 90.00 90.00°
Fractional positions:
Ca 0.000 0.000 0.937
Ca 0.500 0.500 0.322
Ir 0.000 0.000 0.438
Au 0.500 0.500 0.803



(5)
A geometry-optimized La3TbGa2 structure, computed with GGA-PBE.

- E_form (meV/atom) = -412
- SG = No. 26
- energy above the most stable polymorph in this dataset (meV/atom) = 0

Cell: 5.243 6.750 9.815 Å, 90.00 90.00 90.00°
Fractional positions:
La 0.000 0.488 0.945
La 0.000 0.988 0.055
La 0.500 0.690 0.173
La 0.500 0.190 0.827
La 0.000 0.309 0.335
La 0.000 0.809 0.665
Tb 0.500 0.508 0.559
Tb 0.500 0.008 0.441
Ga 0.500 0.712 0.847
Ga 0.500 0.212 0.153
Ga 0.000 0.293 0.648
Ga 0.000 0.793 0.352



(6)
A geometry-optimized Tb6PmTm4 structure, computed with GGA-PBE.

- E_form (meV/atom) = 321
- SG = No. 121
- energy above the most stable polymorph in this dataset (meV/atom) = 198

Cell: 6.538 6.538 9.699 Å, 109.70 109.70 90.00°
Fractional positions:
Tb 0.862 0.487 0.349
Tb 0.487 0.862 0.349
Tb 0.513 0.513 0.651
Tb 0.000 0.500 0.000
Tb 0.138 0.138 0.651
Tb 0.500 0.000 0.000
Pm 0.500 0.500 0.000
Tm 0.049 0.689 0.738
Tm 0.951 0.951 0.262
Tm 0.689 0.049 0.738
Tm 0.311 0.311 0.262



(7)
A geometry-optimized SrRe2Au structure, computed with GGA-PBE.

- E_form (meV/atom) = 1564
- SG = No. 225
- energy above the most stable polymorph in this dataset (meV/atom) = 1269

Cell: 4.727 4.727 4.727 Å, 60.00 60.00 60.00°
Fractional positions:
Re 0.250 0.250 0.250
Re 0.750 0.750 0.750
Au 0.500 0.500 0.500
Sr 0.000 0.000 0.000



(8)
A geometry-optimized Pr2Mg16In structure, computed with GGA-PBE.

- E_form (meV/atom) = -88
- SG = No. 160

Cell: 7.814 7.814 7.814 Å, 82.39 82.39 82.39°
Fractional positions:
Pr 0.673 0.673 0.673
Pr 0.327 0.327 0.327
Mg 0.699 0.001 0.302
Mg 0.001 0.302 0.699
Mg 0.302 0.699 0.001
Mg 0.001 0.699 0.302
Mg 0.699 0.302 0.001
Mg 0.302 0.001 0.699
Mg 0.353 0.840 0.353
Mg 0.840 0.353 0.353
Mg 0.353 0.353 0.840
Mg 0.647 0.162 0.647
Mg 0.162 0.647 0.647
Mg 0.647 0.647 0.162
Mg 0.003 0.497 0.003
Mg 0.497 0.003 0.003
Mg 0.003 0.003 0.497
Mg 0.094 0.094 0.094
In 0.898 0.898 0.898



Table of size of the total moment (μB per cell), in record order: 0.0 0.0 0.0 0.0 0.0 0.0 1.1 0.0
Table of ρ (g/cm³), in record order: 13.62 14.74 6.52 8.41 6.84 8.08 14.61 2.80